Below is crystalline LiPmSb at its relaxed geometry, with properties calculated at the PBE level.

Properties
Crystal system = orthorhombic
Distance to the lowest polymorph of the same formula = 205 meV/atom

Cell: 4.799 4.252 8.843 Å, 103.91 105.74 90.00°
Element x y z (fractional)
Li 0.247 0.500 0.000
Li 0.753 0.500 0.000
Pm 0.340 0.840 0.680
Pm 0.660 0.160 0.320
Sb 0.849 0.349 0.697
Sb 0.151 0.651 0.303



Below is crystalline Li2Pm5Sb5 at its relaxed geometry, with properties calculated at the PBE level.

Properties
Crystal system = monoclinic
Total DFT energy (no corrections) = -58.618 eV for the cell shown

Cell: 4.402 7.666 12.330 Å, 112.15 90.00 106.68°
Site moments in Bohr magnetons follow the coordinates.
Element x y z (fractional)
Pm 0.274 0.549 0.654  0.05
Pm 0.726 0.451 0.346  0.05
Pm 0.656 0.313 0.028  0.13
Pm 0.500 0.000 0.500  0.02
Pm 0.344 0.687 0.972  0.13
Sb 0.000 0.000 0.000  -0.02
Sb 0.895 0.790 0.590  0.00
Sb 0.691 0.381 0.787  -0.01
Sb 0.105 0.210 0.410  0.00
Sb 0.309 0.619 0.213  -0.01
Li 0.934 0.868 0.211  0.01
Li 0.066 0.132 0.789  0.01



Below is crystalline LiPmSb at its relaxed geometry, with properties calculated at the PBE level.

Properties
Crystal system = cubic
Distance to the lowest polymorph of the same formula = 226 meV/atom

Cell: 5.002 5.002 5.002 Å, 60.00 60.00 60.00°
Element x y z (fractional)
Sb 0.250 0.250 0.250
Li 0.000 0.000 0.000
Pm 0.500 0.500 0.500



| no. | D(E_F) (states/eV/f.u.) |
| --- | --- |
| 1 | 1.08 |
| 2 | 6.83 |
| 3 | 1.98 |